Entry a
Here is a relaxed Cd3BTe crystal from Alexandria via LeMat-Bulk. Energies are from GGA-PBE.

Cell: 4.785 4.785 4.785 Å, 90.00 90.00 90.00°
Space group Pm-3m (No. 221)
One atom of each set of equivalent atoms:
Cd: 0.000 0.000 0.500 (multiplicity 3)
B: 0.000 0.000 0.000 (multiplicity 1)
Te: 0.500 0.500 0.500 (multiplicity 1)

Entry b
Here is a relaxed Cd3BTe crystal from Alexandria via LeMat-Bulk. Energies are from GGA-PBE.

Cell: 5.761 5.761 5.761 Å, 90.00 90.00 90.00°
Space group Pm-3m (No. 221)
One atom of each set of equivalent atoms:
Cd: 0.000 0.000 0.500 (multiplicity 3)
B: 0.500 0.500 0.500 (multiplicity 1)
Te: 0.000 0.000 0.000 (multiplicity 1)

Quick one: most stable of them? entry a

Entry a
Here is a relaxed CdBTe3 crystal from Alexandria via LeMat-Bulk. Energies are from GGA-PBE.

Cell: 4.950 4.950 4.950 Å, 90.00 90.00 90.00°
Space group Pm-3m (No. 221)
One atom of each set of equivalent atoms:
Cd: 0.000 0.000 0.000 (multiplicity 1)
B: 0.500 0.500 0.500 (multiplicity 1)
Te: 0.000 0.500 0.500 (multiplicity 3)

Entry b
Here is a relaxed CdBTe3 crystal from Alexandria via LeMat-Bulk. Energies are from GGA-PBE.

Cell: 5.602 5.602 5.602 Å, 90.00 90.00 90.00°
Space group Pm-3m (No. 221)
One atom of each set of equivalent atoms:
Cd: 0.000 0.000 0.000 (multiplicity 1)
B: 0.500 0.500 0.500 (multiplicity 1)
Te: 0.000 0.000 0.500 (multiplicity 3)

Quick one: most stable of them? entry a

Entry a
Here is a relaxed CdB2Te crystal from Alexandria via LeMat-Bulk. Energies are from GGA-PBE.

Cell: 5.511 5.511 9.850 Å, 90.00 90.00 90.00°
Space group I-42d (No. 122)
One atom of each set of equivalent atoms:
Cd: 0.000 0.000 0.000 (multiplicity 4)
B: 0.239 0.250 0.625 (multiplicity 8)
Te: 0.000 0.000 0.500 (multiplicity 4)

Entry b
Here is a relaxed CdB2Te crystal from Alexandria via LeMat-Bulk. Energies are from GGA-PBE.

Cell: 6.387 6.387 6.387 Å, 90.00 90.00 90.00°
Space group Fm-3m (No. 225)
One atom of each set of equivalent atoms:
Cd: 0.000 0.000 0.000 (multiplicity 4)
B: 0.250 0.250 0.250 (multiplicity 8)
Te: 0.000 0.000 0.500 (multiplicity 4)

Quick one: most stable of them? entry a

Entry a
Here is a relaxed CdB3Te crystal from Alexandria via LeMat-Bulk. Energies are from GGA-PBE.

Cell: 4.485 4.485 4.485 Å, 90.00 90.00 90.00°
Space group Pm-3m (No. 221)
One atom of each set of equivalent atoms:
Cd: 0.000 0.000 0.000 (multiplicity 1)
B: 0.000 0.000 0.500 (multiplicity 3)
Te: 0.500 0.500 0.500 (multiplicity 1)

Entry b
Here is a relaxed CdB3Te crystal from Alexandria via LeMat-Bulk. Energies are from GGA-PBE.

Cell: 4.494 4.494 4.494 Å, 90.00 90.00 90.00°
Space group Pm-3m (No. 221)
One atom of each set of equivalent atoms:
Cd: 0.000 0.000 0.000 (multiplicity 1)
B: 0.000 0.500 0.500 (multiplicity 3)
Te: 0.500 0.500 0.500 (multiplicity 1)

Quick one: most stable of them? entry b

Entry a
Here is a relaxed CdB2Te2 crystal from Alexandria via LeMat-Bulk. Energies are from GGA-PBE.

Cell: 4.868 4.868 7.762 Å, 90.00 90.00 90.00°
Space group I4/mmm (No. 139)
One atom of each set of equivalent atoms:
Cd: 0.000 0.000 0.000 (multiplicity 2)
B: 0.000 0.000 0.388 (multiplicity 4)
Te: 0.000 0.500 0.250 (multiplicity 4)

Entry b
Here is a relaxed CdB2Te2 crystal from Alexandria via LeMat-Bulk. Energies are from GGA-PBE.

Cell: 7.816 7.816 3.559 Å, 90.00 90.00 90.00°
Space group P4/mbm (No. 127)
One atom of each set of equivalent atoms:
Cd: 0.000 0.000 0.000 (multiplicity 2)
B: 0.227 0.273 0.000 (multiplicity 4)
Te: 0.153 0.653 0.500 (multiplicity 4)

Quick one: most stable of them? entry a

Entry a
Here is a relaxed TiCd3B crystal from Alexandria via LeMat-Bulk. Energies are from GGA-PBE.

Cell: 4.571 4.571 4.571 Å, 90.00 90.00 90.00°
Space group Pm-3m (No. 221)
One atom of each set of equivalent atoms:
Ti: 0.000 0.000 0.000 (multiplicity 1)
Cd: 0.000 0.500 0.500 (multiplicity 3)
B: 0.500 0.500 0.500 (multiplicity 1)

Entry b
Here is a relaxed TiCd3B crystal from Alexandria via LeMat-Bulk. Energies are from GGA-PBE.

Cell: 5.387 5.387 5.387 Å, 90.00 90.00 90.00°
Space group Pm-3m (No. 221)
One atom of each set of equivalent atoms:
Ti: 0.000 0.000 0.000 (multiplicity 1)
Cd: 0.000 0.000 0.500 (multiplicity 3)
B: 0.500 0.500 0.500 (multiplicity 1)

Quick one: most stable of them? entry a

Entry a
Here is a relaxed Tl3CdB crystal from Alexandria via LeMat-Bulk. Energies are from GGA-PBE.

Cell: 5.048 5.048 5.048 Å, 90.00 90.00 90.00°
Space group Pm-3m (No. 221)
One atom of each set of equivalent atoms:
Tl: 0.000 0.000 0.500 (multiplicity 3)
Cd: 0.500 0.500 0.500 (multiplicity 1)
B: 0.000 0.000 0.000 (multiplicity 1)

Entry b
Here is a relaxed Tl3CdB crystal from Alexandria via LeMat-Bulk. Energies are from GGA-PBE.

Cell: 5.641 5.641 5.641 Å, 90.00 90.00 90.00°
Space group Pm-3m (No. 221)
One atom of each set of equivalent atoms:
Tl: 0.000 0.000 0.500 (multiplicity 3)
Cd: 0.000 0.000 0.000 (multiplicity 1)
B: 0.500 0.500 0.500 (multiplicity 1)

Quick one: most stable of them? entry a

Entry a
Here is a relaxed TlCd3B crystal from Alexandria via LeMat-Bulk. Energies are from GGA-PBE.

Cell: 5.570 5.570 5.570 Å, 90.00 90.00 90.00°
Space group Pm-3m (No. 221)
One atom of each set of equivalent atoms:
Tl: 0.000 0.000 0.000 (multiplicity 1)
Cd: 0.000 0.000 0.500 (multiplicity 3)
B: 0.500 0.500 0.500 (multiplicity 1)

Entry b
Here is a relaxed TlCd3B crystal from Alexandria via LeMat-Bulk. Energies are from GGA-PBE.

Cell: 4.778 4.778 4.778 Å, 90.00 90.00 90.00°
Space group Pm-3m (No. 221)
One atom of each set of equivalent atoms:
Tl: 0.000 0.000 0.000 (multiplicity 1)
Cd: 0.000 0.500 0.500 (multiplicity 3)
B: 0.500 0.500 0.500 (multiplicity 1)

Quick one: most stable of them? entry b

Entry a
Here is a relaxed TlCd2B2 crystal from Alexandria via LeMat-Bulk. Energies are from GGA-PBE.

Cell: 6.746 6.746 3.894 Å, 90.00 90.00 90.00°
Space group P4/mbm (No. 127)
One atom of each set of equivalent atoms:
Tl: 0.000 0.000 0.000 (multiplicity 2)
Cd: 0.174 0.326 0.500 (multiplicity 4)
B: 0.084 0.584 0.000 (multiplicity 4)

Entry b
Here is a relaxed TlCd2B2 crystal from Alexandria via LeMat-Bulk. Energies are from GGA-PBE.

Cell: 4.503 4.503 8.936 Å, 90.00 90.00 90.00°
Space group I4/mmm (No. 139)
One atom of each set of equivalent atoms:
Tl: 0.000 0.000 0.000 (multiplicity 2)
Cd: 0.000 0.500 0.250 (multiplicity 4)
B: 0.000 0.000 0.410 (multiplicity 4)

Quick one: most stable of them? entry b

Entry a
Here is a relaxed VCdB3 crystal from Alexandria via LeMat-Bulk. Energies are from GGA-PBE.

Cell: 4.265 4.265 4.265 Å, 90.00 90.00 90.00°
Space group Pm-3m (No. 221)
One atom of each set of equivalent atoms:
V: 0.000 0.000 0.000 (multiplicity 1)
Cd: 0.500 0.500 0.500 (multiplicity 1)
B: 0.000 0.500 0.500 (multiplicity 3)

Entry b
Here is a relaxed VCdB3 crystal from Alexandria via LeMat-Bulk. Energies are from GGA-PBE.

Cell: 4.040 4.040 4.040 Å, 90.00 90.00 90.00°
Space group Pm-3m (No. 221)
One atom of each set of equivalent atoms:
V: 0.000 0.000 0.000 (multiplicity 1)
Cd: 0.500 0.500 0.500 (multiplicity 1)
B: 0.000 0.000 0.500 (multiplicity 3)

Quick one: most stable of them? entry b

Entry a
Here is a relaxed VCd3B crystal from Alexandria via LeMat-Bulk. Energies are from GGA-PBE.

Cell: 4.577 4.577 4.577 Å, 90.00 90.00 90.00°
Space group Pm-3m (No. 221)
One atom of each set of equivalent atoms:
V: 0.000 0.000 0.000 (multiplicity 1)
Cd: 0.000 0.500 0.500 (multiplicity 3)
B: 0.500 0.500 0.500 (multiplicity 1)

Entry b
Here is a relaxed VCd3B crystal from Alexandria via LeMat-Bulk. Energies are from GGA-PBE.

Cell: 5.281 5.281 5.281 Å, 90.00 90.00 90.00°
Space group Pm-3m (No. 221)
One atom of each set of equivalent atoms:
V: 0.000 0.000 0.000 (multiplicity 1)
Cd: 0.000 0.000 0.500 (multiplicity 3)
B: 0.500 0.500 0.500 (multiplicity 1)

Quick one: most stable of them? entry a

Entry a
Here is a relaxed CdB3W crystal from Alexandria via LeMat-Bulk. Energies are from GGA-PBE.

Cell: 4.139 4.139 4.139 Å, 90.00 90.00 90.00°
Space group Pm-3m (No. 221)
One atom of each set of equivalent atoms:
Cd: 0.000 0.000 0.000 (multiplicity 1)
B: 0.000 0.000 0.500 (multiplicity 3)
W: 0.500 0.500 0.500 (multiplicity 1)

Entry b
Here is a relaxed CdB3W crystal from Alexandria via LeMat-Bulk. Energies are from GGA-PBE.

Cell: 4.229 4.229 4.229 Å, 90.00 90.00 90.00°
Space group Pm-3m (No. 221)
One atom of each set of equivalent atoms:
Cd: 0.000 0.000 0.000 (multiplicity 1)
B: 0.000 0.500 0.500 (multiplicity 3)
W: 0.500 0.500 0.500 (multiplicity 1)

Quick one: most stable of them? entry b

Entry a
Here is a relaxed YCdB crystal from Alexandria via LeMat-Bulk. Energies are from GGA-PBE.

Cell: 4.6686 4.6686 5.8046 Å, 90.00 90.00 120.00°
Space group P6_3/mmc (No. 194)
One atom of each set of equivalent atoms:
Y: 0.3333 0.6667 0.2500 (multiplicity 2)
Cd: 0.0000 0.0000 0.0000 (multiplicity 2)
B: 0.3333 0.6667 0.7500 (multiplicity 2)

Entry b
Here is a relaxed YCdB crystal from Alexandria via LeMat-Bulk. Energies are from GGA-PBE.

Cell: 5.766 3.330 11.854 Å, 90.00 99.39 90.00°
Space group Cm (No. 8)
One atom of each set of equivalent atoms:
Y: 0.000 0.000 0.000 (multiplicity 2)
Y: 0.107 0.000 0.319 (multiplicity 2)
Cd: 0.019 0.500 0.553 (multiplicity 2)
Cd: 0.255 0.000 0.766 (multiplicity 2)
B: 0.220 0.500 0.160 (multiplicity 2)
B: 0.387 0.000 0.159 (multiplicity 2)

Quick one: most stable of them? entry b